# 1
Compound: PrNd3N2F2
Source: OQMD
Functional: GGA-PBE
Structure: optimized geometry

Cell lengths 3.5556, 3.5556, 12.6066 Å; angles 90.00, 90.00, 120.00 degrees
Space group P3m1 (No. 156)
Inequivalent atoms, fractional coordinates:
Pr1 0.0000 0.0000 0.0000 [1 per cell]
Nd1 0.0000 0.0000 0.2853 [1 per cell]
Nd2 0.6667 0.3333 0.4991 [1 per cell]
Nd3 0.6667 0.3333 0.7837 [1 per cell]
N1 0.3333 0.6667 0.3922 [1 per cell]
N2 0.3333 0.6667 0.8878 [1 per cell]
F1 0.0000 0.0000 0.6419 [1 per cell]
F2 0.6667 0.3333 0.1457 [1 per cell]

Crystal system: trigonal



# 2
Compound: Pr3Cd3PtAu2
Source: OQMD
Functional: GGA-PBE
Structure: optimized geometry

Cell lengths 7.8045, 7.8045, 4.1580 Å; angles 90.00, 90.00, 120.00 degrees
Space group P-62m (No. 189)
Inequivalent atoms, fractional coordinates:
Pr1 0.0000 0.6016 0.0000 [3 per cell]
Cd1 0.0000 0.2481 0.5000 [3 per cell]
Pt1 0.0000 0.0000 0.0000 [1 per cell]
Au1 0.3333 0.6667 0.5000 [2 per cell]

ΔE_f, eV per formula unit: -6.27
Crystal system: hexagonal



# 3
Compound: BaPrAgSeS2
Source: OQMD
Functional: GGA-PBE
Structure: optimized geometry

Cell lengths 4.2402, 14.2606, 10.9638 Å; angles 90.00, 90.00, 90.00 degrees
Space group Cmcm (No. 63)
Inequivalent atoms, fractional coordinates:
Ba1 0.0000 0.2391 0.2500 [4 per cell]
Pr1 0.0000 0.0000 0.0000 [4 per cell]
Ag1 0.0000 0.4744 0.7500 [4 per cell]
Se1 0.0000 0.0890 0.7500 [4 per cell]
S1 0.0000 0.3686 0.5638 [8 per cell]

Crystal system: orthorhombic



# 4
Compound: NaBeSbPt
Source: OQMD
Functional: GGA-PBE
Structure: optimized geometry

Cell lengths 6.5232, 6.5232, 6.5232 Å; angles 90.00, 90.00, 90.00 degrees
Space group F-43m (No. 216)
Inequivalent atoms, fractional coordinates:
Na1 0.0000 0.0000 0.0000 [4 per cell]
Be1 0.2500 0.2500 0.7500 [4 per cell]
Sb1 0.0000 0.0000 0.5000 [4 per cell]
Pt1 0.2500 0.2500 0.2500 [4 per cell]

Crystal system: cubic



# 5
Compound: Cu5Ag4
Source: OQMD
Functional: GGA-PBE
Structure: optimized geometry

Cell lengths 9.0405, 2.7770, 11.3110 Å; angles 90.00, 112.33, 90.00 degrees
Space group C2/m (No. 12)
Inequivalent atoms, fractional coordinates:
Cu1 0.0000 0.0000 0.0000 [2 per cell]
Cu2 0.1750 0.5000 0.6834 [4 per cell]
Cu3 0.2348 0.0000 0.9007 [4 per cell]
Ag1 0.0465 0.5000 0.2104 [4 per cell]
Ag2 0.1062 0.0000 0.4431 [4 per cell]

ΔE_f, eV per formula unit: 0.91
Crystal system: monoclinic



# 6
Compound: Cu2Ag3
Source: OQMD
Functional: GGA-PBE
Structure: optimized geometry

Cell lengths 2.8546, 2.8546, 66.4870 Å; angles 90.00, 90.00, 120.00 degrees
Space group R3m (No. 160, hexagonal axes)
Inequivalent atoms, fractional coordinates:
Cu1 0.0000 0.0000 0.0000 [3 per cell]
Cu2 0.0000 0.0000 0.0938 [3 per cell]
Cu3 0.0000 0.0000 0.4922 [3 per cell]
Cu4 0.0000 0.0000 0.6950 [3 per cell]
Ag1 0.0000 0.0000 0.1912 [3 per cell]
Ag2 0.0000 0.0000 0.3007 [3 per cell]
Ag3 0.0000 0.0000 0.3945 [3 per cell]
Ag4 0.0000 0.0000 0.5974 [3 per cell]
Ag5 0.0000 0.0000 0.7931 [3 per cell]
Ag6 0.0000 0.0000 0.8943 [3 per cell]

ΔE_f, eV per formula unit: 0.47
Crystal system: trigonal



Number 1: DFT total energy -6.88 eV per atom. Number 2: DFT total energy -3.99 eV per atom. Number 3: DFT total energy -5.12 eV per atom. Number 4: DFT total energy -3.67 eV per atom. Number 5: DFT total energy -3.22 eV per atom. Number 6: DFT total energy -3.09 eV per atom.